# 1
DFT (PBE-GGA) results for a geometry-optimized LiSmSbIr structure.

Energy relative to the elements, uncorrected = -0.71 eV per atom

Cell: 6.7432 6.7432 6.7432 Å, 90.00 90.00 90.00°
Last column: nearest neighbours and their distance in Å.
Space group F-43m (No. 216)
One atom of each set of equivalent atoms:
Li 0.0000 0.0000 0.0000 x4  4 Sm 2.92, 4 Sb 2.92
Sm 0.2500 0.2500 0.7500 x4  4 Ir 2.92, 4 Li 2.92
Sb 0.2500 0.2500 0.2500 x4  4 Li 2.92, 4 Ir 2.92
Ir 0.0000 0.0000 0.5000 x4  4 Sb 2.92, 4 Sm 2.92

***

# 2
DFT (PBE-GGA) results for a geometry-optimized K3Mg2CdF9 structure.

D(E_F) = 0.00 states/eV per atom
Energy relative to the elements, uncorrected = -3.01 eV per atom

Cell: 5.8906 5.8906 7.2762 Å, 90.00 90.00 120.00°
Last column: nearest neighbours and their distance in Å.
Space group P-3m1 (No. 164)
One atom of each set of equivalent atoms:
K 0.0000 0.0000 0.0000 x1  12 F 2.93-2.95
K 0.3333 0.6667 0.6686 x2  12 F 2.95-3.01
Mg 0.3333 0.6667 0.1520 x2  6 F 2.01-2.03
Cd 0.0000 0.0000 0.5000 x1  6 F 2.23
F 0.0000 0.5000 0.0000 x3  2 Mg 2.03
F 0.1755 0.3510 0.3184 x6  1 Mg 2.01, 1 Cd 2.23

***

# 3
DFT (PBE-GGA) results for a geometry-optimized AcLaAl structure.

D(E_F) = 1.22 states/eV per atom
Polymorph energy (0 for the lowest one) = 20 meV per atom

Cell: 4.0180 4.0180 12.1870 Å, 90.00 90.00 90.00°
Last column: nearest neighbours and their distance in Å.
Space group I4mm (No. 107)
One atom of each set of equivalent atoms:
Ac 0.0000 0.0000 0.0000 x2  4 Al 3.41, 1 La 3.52
La 0.0000 0.0000 0.7114 x2  4 Al 3.28, 1 Ac 3.52
Al 0.0000 0.0000 0.3457 x2  4 La 3.28, 4 Ac 3.41

***

# 4
DFT (PBE-GGA) results for a geometry-optimized Ti4CoRu3 structure.

D(E_F) = 0.61 states/eV per atom
Energy = -71.744 eV/f.u.

Cell: 3.0670 4.3236 8.6323 Å, 90.00 90.00 90.00°
Last column: nearest neighbours and their distance in Å.
Space group Pmmm (No. 47)
One atom of each set of equivalent atoms:
Ti 0.0000 0.0000 0.0000 x1  4 Ru 2.62, 4 Co 2.65
Ti 0.0000 0.0000 0.5000 x1  8 Ru 2.65-2.67
Ti 0.0000 0.5000 0.2451 x2  2 Co 2.61, 6 Ru 2.65-2.68
Co 0.5000 0.5000 0.0000 x1  8 Ti 2.61-2.65
Ru 0.5000 0.0000 0.2467 x2  8 Ti 2.62-2.67
Ru 0.5000 0.5000 0.5000 x1  8 Ti 2.65-2.68

***

# 5
DFT (PBE-GGA) results for a geometry-optimized BaNa9Li3 structure.

D(E_F) = 0.47 states/eV per atom
Energy = -19.213 eV/f.u.

Cell: 6.5305 16.6862 8.9964 Å, 90.00 110.78 90.00°
Last column: nearest neighbours and their distance in Å.
Space group C2/m (No. 12)
One atom of each set of equivalent atoms:
Ba 0.0000 0.0000 0.0000 x2  14 Na 4.11-4.52, 6 Li 4.48-4.50
Na 0.0000 0.5000 0.5000 x2  2 Li 3.27, 4 Na 3.46
Na 0.1126 0.3898 0.2124 x8  3 Li 3.33-3.44, 6 Na 3.46-3.70
Na 0.1652 0.1782 0.3437 x8  3 Li 3.52-3.61, 6 Na 3.56-3.90
Li 0.0000 0.0000 0.5000 x2  10 Na 3.27-3.61
Li 0.2500 0.2500 0.0000 x4  2 Li 3.27, 8 Na 3.33-3.54

***

# 6
DFT (PBE-GGA) results for a geometry-optimized ThRhAu4 structure.

D(E_F) = 0.51 states/eV per atom
Polymorph energy (0 for the lowest one) = 0 meV per atom

Cell: 5.5633 16.9817 4.9982 Å, 90.00 92.25 90.00°
Last column: nearest neighbours and their distance in Å.
Space group C2/c (No. 15)
One atom of each set of equivalent atoms:
Th 0.0000 0.1220 0.2500 x4  2 Rh 2.78
Rh 0.0000 0.3716 0.7500 x4  2 Th 2.78, 6 Au 3.10-3.11
Au 0.2412 0.4583 0.2360 x8  5 Au 2.69-2.88
Au 0.2479 0.2916 0.2484 x8  5 Au 2.76-2.88

***

# 7
DFT (PBE-GGA) results for a geometry-optimized TlGaAgPt structure.

D(E_F) = 0.38 states/eV per atom
Polymorph energy (0 for the lowest one) = 109 meV per atom

Cell: 3.9488 3.8646 5.6222 Å, 90.00 109.36 90.00°
Last column: nearest neighbours and their distance in Å.
Space group Pm (No. 6)
One atom of each set of equivalent atoms:
Tl 0.0000 0.0000 0.0000 x1  1 Ga 2.78, 4 Pt 2.92-2.93
Ga 0.7266 0.0000 0.4769 x1  2 Pt 2.49, 1 Tl 2.78
Ag 0.2941 0.5000 0.6136 x1  4 Ga 2.85-2.86, 3 Pt 3.01-3.04
Pt 0.5846 0.5000 0.1804 x1  2 Ga 2.49

***

# 8
DFT (PBE-GGA) results for a geometry-optimized Tb2BiIr structure.

D(E_F) = 0.41 states/eV per atom
Polymorph energy (0 for the lowest one) = 90 meV per atom

Cell: 3.5104 3.5104 8.1653 Å, 90.00 90.00 90.00°
Last column: nearest neighbours and their distance in Å.
Space group P4/mmm (No. 123)
One atom of each set of equivalent atoms:
Tb 0.0000 0.0000 0.2027 x2  4 Ir 2.98, 1 Tb 3.31
Bi 0.5000 0.5000 0.5000 x1  8 Tb 3.47, 4 Bi 3.51
Ir 0.5000 0.5000 0.0000 x1  8 Tb 2.98

***

# 9
DFT (PBE-GGA) results for a geometry-optimized AcCuSbPt structure.

D(E_F) = 0.58 states/eV per atom
Energy relative to the elements, uncorrected = -0.49 eV per atom

Cell: 7.1581 7.1581 7.1581 Å, 90.00 90.00 90.00°
Last column: nearest neighbours and their distance in Å.
Space group F-43m (No. 216)
One atom of each set of equivalent atoms:
Ac 0.0000 0.0000 0.0000 x4  4 Cu 3.10, 4 Pt 3.10
Cu 0.2500 0.2500 0.2500 x4  4 Ac 3.10, 4 Sb 3.10
Sb 0.0000 0.0000 0.5000 x4  4 Pt 3.10, 4 Cu 3.10
Pt 0.2500 0.2500 0.7500 x4  4 Ac 3.10, 4 Sb 3.10

***

# 10
DFT (PBE-GGA) results for a geometry-optimized NaTm3Au4 structure.

D(E_F) = 0.60 states/eV per atom
Energy = -33.887 eV/f.u.

Cell: 4.9870 4.9870 24.5872 Å, 90.00 90.00 120.00°
Last column: nearest neighbours and their distance in Å.
Space group R-3m (No. 166, hexagonal axes)
One atom of each set of equivalent atoms:
Na 0.0000 0.0000 0.0000 x3  8 Au 3.09-3.26
Tm 0.0000 0.0000 0.2545 x6  8 Au 2.99-3.17
Tm 0.0000 0.0000 0.5000 x3  8 Au 2.96-3.00
Au 0.0000 0.0000 0.1326 x6  7 Tm 3.00-3.17, 1 Na 3.26, 3 Au 3.33
Au 0.0000 0.0000 0.3794 x6  5 Tm 2.96-3.07, 3 Na 3.09

***

# 11
DFT (PBE-GGA) results for a geometry-optimized PuInSi2Pt5 structure.

D(E_F) = 1.53 states/eV per atom
Energy relative to the elements, uncorrected = -0.62 eV per atom

Cell: 4.0548 4.0548 11.0106 Å, 90.00 90.00 90.00°
Last column: nearest neighbours and their distance in Å.
Space group P4/mmm (No. 123)
One atom of each set of equivalent atoms:
Pu 0.0000 0.0000 0.0000 x1  4 Pt 2.87
In 0.0000 0.0000 0.5000 x1  8 Pt 2.80
Si 0.5000 0.5000 0.2134 x2  5 Pt 2.35-2.37
Pt 0.0000 0.5000 0.3242 x4  2 Si 2.37
Pt 0.5000 0.5000 0.0000 x1  2 Si 2.35

***

# 12
DFT (PBE-GGA) results for a geometry-optimized CaHfTc2 structure.

D(E_F) = 1.08 states/eV per atom
Polymorph energy (0 for the lowest one) = 481 meV per atom

Cell: 7.4133 7.4133 5.8325 Å, 90.00 90.00 90.00°
Last column: nearest neighbours and their distance in Å.
Space group I-42d (No. 122)
One atom of each set of equivalent atoms:
Ca 0.0000 0.0000 0.0000 x4  4 Tc 2.83, 2 Hf 2.92
Hf 0.0000 0.0000 0.5000 x4  4 Tc 2.61, 2 Ca 2.92
Tc 0.2281 0.7500 0.6250 x8  2 Hf 2.61, 2 Ca 2.83